# 1
A relaxed structure of UGaNi, computed with PBE.

a = 6.576 Å, b = 6.576 Å, c = 6.576 Å
α = 60.00°, β = 60.00°, γ = 60.00°
Site moments in Bohr magnetons follow the coordinates.
Positions (direct):
U  0.144  0.567  0.144  0.53
U  0.567  0.144  0.144  0.53
U  0.144  0.144  0.144  0.53
U  0.144  0.144  0.567  0.53
Ga  0.601  0.601  0.601  -0.01
Ga  0.601  0.198  0.601  -0.01
Ga  0.601  0.601  0.198  -0.01
Ga  0.198  0.601  0.601  -0.01
Ni  0.855  0.855  0.855  -0.02
Ni  0.855  0.855  0.436  -0.02
Ni  0.436  0.855  0.855  -0.02
Ni  0.855  0.436  0.855  -0.02

Computed properties:
Uncorrected energy (eV per atom): -6.856
Calculated formation energy (meV per atom): -157

=====

# 2
A relaxed structure of YSn2Pb, computed with PBE.

a = 4.163 Å, b = 4.163 Å, c = 6.465 Å
α = 90.00°, β = 90.00°, γ = 90.00°
Positions (direct):
Sn  0.000  0.000  0.738
Sn  0.000  0.000  0.262
Y  0.500  0.500  0.500
Pb  0.500  0.500  0.000

Computed properties:
Uncorrected energy (eV per atom): -4.873
Calculated formation energy (meV per atom): -329

=====

# 3
A relaxed structure of Sn2HgTeSe3, computed with PBE.

a = 8.621 Å, b = 8.621 Å, c = 8.621 Å
α = 58.31°, β = 58.31°, γ = 58.31°
Positions (direct):
Hg  0.400  0.400  0.400
Hg  0.600  0.600  0.600
Se  0.754  0.754  0.218
Se  0.246  0.246  0.782
Se  0.246  0.782  0.246
Se  0.218  0.754  0.754
Se  0.754  0.218  0.754
Se  0.782  0.246  0.246
Sn  0.000  0.500  0.000
Sn  0.000  0.000  0.000
Sn  0.000  0.000  0.500
Sn  0.500  0.000  0.000
Te  0.747  0.747  0.747
Te  0.253  0.253  0.253

Computed properties:
Raw formation energy (eV/atom): -0.226
Uncorrected energy (eV per atom): -3.355

=====

# 4
A relaxed structure of Ac2CrSnPd6, computed with PBE.

a = 5.608 Å, b = 8.905 Å, c = 6.885 Å
α = 50.12°, β = 65.97°, γ = 90.01°
Site moments in Bohr magnetons follow the coordinates.
Positions (direct):
Pd  0.250  0.756  0.994  0.03
Pd  0.247  0.406  0.506  0.04
Pd  0.243  0.244  0.007  0.03
Pd  0.753  0.594  0.494  0.04
Pd  0.757  0.756  0.993  0.03
Pd  0.750  0.244  0.006  0.03
Sn  0.500  0.500  0.000  0.02
Ac  0.742  0.207  0.516  0.01
Ac  0.258  0.793  0.484  0.01
Cr  0.000  0.000  0.000  3.36

Computed properties:
Uncorrected energy (eV per atom): -5.819
Calculated formation energy (meV per atom): -519